[1]
LuBeCoSn | PBE-GGA | optimized geometry Values from VASP.

```
&SYSTEM
  ibrav = 0, nat = 4, ntyp = 4
/
ATOMIC_SPECIES
Sn 118.71 Sn.upf
Lu 174.97 Lu.upf
Be 9.01 Be.upf
Co 58.93 Co.upf
CELL_PARAMETERS angstrom
0.976 -2.015 3.875
-3.225 -2.042 2.335
-0.073 -4.466 0.281
ATOMIC_POSITIONS angstrom
Sn 0.000 0.000 0.000
Lu -1.161 -4.261 3.245
Be -1.742 -6.392 4.868
Co -0.581 -2.131 1.623
```

## Properties
Crystal system   cubic
E   -19.9 eV per cell
M_tot   0.0 μB per formula unit

[2]
NpGaCu | PBE-GGA | optimized geometry Values from VASP.

```
&SYSTEM
  ibrav = 0, nat = 3, ntyp = 3
/
ATOMIC_SPECIES
Cu 63.55 Cu.upf
Np 237.00 Np.upf
Ga 69.72 Ga.upf
CELL_PARAMETERS angstrom
0.000 3.138 3.138
3.138 0.000 3.138
3.138 3.138 0.000
ATOMIC_POSITIONS angstrom
Cu 0.000 0.000 0.000
Np 4.707 4.707 4.707
Ga 1.569 1.569 1.569
```

## Properties
Crystal system   cubic
E   -18.9 eV per cell
M_tot   3.4 μB per formula unit

[3]
LiTlCoBi | PBE-GGA | optimized geometry Values from VASP.

```
&SYSTEM
  ibrav = 0, nat = 4, ntyp = 4
/
ATOMIC_SPECIES
Bi 208.98 Bi.upf
Li 6.94 Li.upf
Tl 204.38 Tl.upf
Co 58.93 Co.upf
CELL_PARAMETERS angstrom
-3.617 -2.875 1.107
-3.416 -0.856 -3.190
-0.337 -4.283 -2.029
ATOMIC_POSITIONS angstrom
Bi 0.000 0.000 0.000
Li -5.528 -6.011 -3.084
Tl -3.685 -4.007 -2.056
Co -1.843 -2.004 -1.028
```

## Properties
Crystal system   cubic
E   -14.8 eV per cell
M_tot   0.5 μB per formula unit

[4]
CsCuTcSe2S | PBE-GGA | optimized geometry Values from VASP.

```
&SYSTEM
  ibrav = 0, nat = 12, ntyp = 5
/
ATOMIC_SPECIES
Cs 132.91 Cs.upf
Se 78.96 Se.upf
Tc 98.00 Tc.upf
Cu 63.55 Cu.upf
S 32.06 S.upf
CELL_PARAMETERS angstrom
1.892 -8.046 0.000
1.892 8.046 0.000
0.000 0.000 9.693
ATOMIC_POSITIONS angstrom
Cs 1.892 -3.930 2.423
Se 1.892 -1.740 9.296
Tc 0.000 0.000 4.846
Cs 1.892 3.930 7.270
Cu 1.892 -0.461 7.270
Cu 1.892 0.461 2.423
S 1.892 -7.203 7.270
Tc 0.000 0.000 0.000
Se 1.892 1.740 0.397
Se 1.892 1.740 4.449
Se 1.892 -1.740 5.243
S 1.892 7.203 2.423
```

## Properties
Crystal system   orthorhombic
E   -57.5 eV per cell
M_tot   2.6 μB per formula unit

[5]
CoPdW | PBE-GGA | optimized geometry Values from VASP.

```
&SYSTEM
  ibrav = 0, nat = 3, ntyp = 3
/
ATOMIC_SPECIES
Pd 106.42 Pd.upf
W 183.84 W.upf
Co 58.93 Co.upf
CELL_PARAMETERS angstrom
0.000 2.912 2.912
2.912 0.000 2.912
2.912 2.912 0.000
ATOMIC_POSITIONS angstrom
Pd 0.000 0.000 0.000
W 1.456 1.456 1.456
Co 2.912 2.912 2.912
```

## Properties
Crystal system   cubic
E   -23.1 eV per cell
E_form   0.704 eV/atom
M_tot   0.0 μB per formula unit

[6]
ScIrPt | PBE-GGA | optimized geometry Values from VASP.

```
&SYSTEM
  ibrav = 0, nat = 3, ntyp = 3
/
ATOMIC_SPECIES
Sc 44.96 Sc.upf
Pt 195.08 Pt.upf
Ir 192.22 Ir.upf
CELL_PARAMETERS angstrom
1.762 -3.124 -2.485
-1.593 -4.060 0.144
-2.220 -1.594 -3.402
ATOMIC_POSITIONS angstrom
Sc -1.538 -6.584 -4.307
Pt -0.513 -2.195 -1.436
Ir 0.000 0.000 0.000
```

## Properties
Crystal system   cubic
E   -22.2 eV per cell
E_form   -0.329 eV/atom
M_tot   0.7 μB per formula unit

[7]
BeTlReMo | PBE-GGA | optimized geometry Values from VASP.

```
&SYSTEM
  ibrav = 0, nat = 4, ntyp = 4
/
ATOMIC_SPECIES
Mo 95.94 Mo.upf
Re 186.21 Re.upf
Tl 204.38 Tl.upf
Be 9.01 Be.upf
CELL_PARAMETERS angstrom
0.000 3.150 3.150
3.150 0.000 3.150
3.150 3.150 0.000
ATOMIC_POSITIONS angstrom
Mo 1.575 1.575 1.575
Re 3.150 3.150 3.150
Tl 0.000 0.000 0.000
Be 4.725 4.725 4.725
```

## Properties
Crystal system   cubic
E   -26.6 eV per cell
M_tot   0.0 μB per formula unit

[8]
UCdCo | PBE-GGA | optimized geometry Values from VASP.

```
&SYSTEM
  ibrav = 0, nat = 3, ntyp = 3
/
ATOMIC_SPECIES
U 238.03 U.upf
Cd 112.41 Cd.upf
Co 58.93 Co.upf
CELL_PARAMETERS angstrom
0.265 -3.462 -3.040
-3.489 -2.995 -0.397
-2.654 0.036 -3.776
ATOMIC_POSITIONS angstrom
U -1.469 -1.605 -1.803
Cd 0.000 0.000 0.000
Co -2.939 -3.211 -3.607
```

## Properties
Crystal system   cubic
E   -15.8 eV per cell
E_form   1.158 eV/atom
M_tot   1.8 μB per formula unit

[9]
AgGeB2 | PBE-GGA | optimized geometry Values from VASP.

```
&SYSTEM
  ibrav = 0, nat = 4, ntyp = 3
/
ATOMIC_SPECIES
B 10.81 B.upf
Ge 72.64 Ge.upf
Ag 107.87 Ag.upf
CELL_PARAMETERS angstrom
0.003 -3.626 -2.206
-3.636 -2.087 -0.656
-1.705 -0.122 -3.884
ATOMIC_POSITIONS angstrom
B -4.004 -4.376 -5.060
Ge -1.335 -1.459 -1.687
B -2.669 -2.917 -3.373
Ag 0.000 0.000 0.000
```

## Properties
Crystal system   cubic
E   -14.3 eV per cell

[10]
Hf2U | PBE-GGA | optimized geometry Values from VASP.

```
&SYSTEM
  ibrav = 0, nat = 6, ntyp = 2
/
ATOMIC_SPECIES
Hf 178.49 Hf.upf
U 238.03 U.upf
CELL_PARAMETERS angstrom
4.572 -6.913 0.262
6.306 -0.600 5.352
-0.563 -5.098 6.516
ATOMIC_POSITIONS angstrom
Hf 3.587 -7.278 7.806
Hf 3.868 -4.729 4.549
Hf 6.154 -8.186 4.680
U 2.579 -3.153 3.032
U 5.157 -6.306 6.065
Hf 7.021 -5.029 7.224
```

## Properties
Crystal system   cubic
E   -41.6 eV per cell
E_form   3.472 eV/atom
M_tot   1.8 μB per formula unit

[11]
HgBiAsO | PBE-GGA | optimized geometry Values from VASP.

```
&SYSTEM
  ibrav = 0, nat = 8, ntyp = 4
/
ATOMIC_SPECIES
As 74.92 As.upf
Hg 200.59 Hg.upf
Bi 208.98 Bi.upf
O 16.00 O.upf
CELL_PARAMETERS angstrom
4.626 0.000 0.000
0.000 6.364 0.000
0.000 0.000 6.299
ATOMIC_POSITIONS angstrom
As 0.000 4.260 5.561
Hg 2.313 1.252 3.261
Bi 0.000 1.479 5.968
As 0.000 2.105 2.411
O 2.313 5.232 2.558
Hg 2.313 5.112 0.112
O 2.313 1.133 5.707
Bi 0.000 4.886 2.818
```

## Properties
Crystal system   orthorhombic
E   -29.9 eV per cell

[12]
TmAlAsO | PBE-GGA | optimized geometry Values from VASP.

```
&SYSTEM
  ibrav = 0, nat = 8, ntyp = 4
/
ATOMIC_SPECIES
Tm 168.93 Tm.upf
As 74.92 As.upf
Al 26.98 Al.upf
O 16.00 O.upf
CELL_PARAMETERS angstrom
-0.998 2.286 3.125
0.266 -3.179 2.411
8.344 1.749 1.386
ATOMIC_POSITIONS angstrom
Tm 6.832 0.878 5.378
As 2.101 -0.114 4.592
Al 3.490 1.794 3.639
O -0.682 0.920 2.946
As 5.511 0.971 2.330
O -0.050 -1.813 2.589
Tm 0.779 -0.021 1.544
Al 4.122 -0.938 3.282
```

## Properties
Crystal system   tetragonal
E   -49.1 eV per cell
M_tot   0.0 μB per formula unit

[13]
CsNdScSe3 | PBE-GGA | optimized geometry Values from VASP.

```
&SYSTEM
  ibrav = 0, nat = 12, ntyp = 4
/
ATOMIC_SPECIES
Nd 144.24 Nd.upf
Cs 132.91 Cs.upf
Se 78.96 Se.upf
Sc 44.96 Sc.upf
CELL_PARAMETERS angstrom
-5.778 1.772 -5.782
2.123 -3.846 7.117
-3.103 9.297 5.951
ATOMIC_POSITIONS angstrom
Nd 0.000 0.000 0.000
Cs -4.464 2.610 -0.883
Se -5.704 8.385 4.693
Cs -2.294 4.613 8.168
Se -1.054 -1.161 2.593
Se -2.232 2.370 4.853
Se -7.695 8.454 -0.650
Sc -4.449 6.146 4.649
Se 0.937 -1.230 7.935
Sc -2.308 1.078 2.636
Nd -1.552 4.649 2.975
Se -4.526 4.853 2.433
```

## Properties
Crystal system   orthorhombic
E   -64.2 eV per cell
M_tot   0.0 μB per formula unit

[14]
CuAg4 | PBE-GGA | optimized geometry Values from VASP.

```
&SYSTEM
  ibrav = 0, nat = 10, ntyp = 2
/
ATOMIC_SPECIES
Ag 107.87 Ag.upf
Cu 63.55 Cu.upf
CELL_PARAMETERS angstrom
7.548 -1.458 0.000
7.548 1.458 0.000
-2.068 0.000 7.642
ATOMIC_POSITIONS angstrom
Ag 4.206 0.000 1.233
Cu 12.645 0.000 3.431
Ag 6.060 0.000 5.554
Cu 0.383 0.000 4.210
Ag 11.646 0.000 7.283
Ag 8.822 0.000 6.409
Ag 6.967 0.000 2.088
Ag 3.274 0.000 4.909
Ag 1.382 0.000 0.359
Ag 9.753 0.000 2.733
```

## Properties
Crystal system   monoclinic
E   -29.6 eV per cell
E_form   0.048 eV/atom

[15]
RbSmSe3 | PBE-GGA | optimized geometry Values from VASP.

```
&SYSTEM
  ibrav = 0, nat = 10, ntyp = 3
/
ATOMIC_SPECIES
Se 78.96 Se.upf
Rb 85.47 Rb.upf
Sm 150.36 Sm.upf
CELL_PARAMETERS angstrom
7.311 0.000 0.000
2.174 7.384 0.000
2.849 1.395 7.147
ATOMIC_POSITIONS angstrom
Se 9.097 7.076 3.850
Se 6.904 3.996 1.788
Rb 9.359 4.124 5.870
Se 3.024 0.405 1.018
Se 9.310 8.375 6.129
Sm 6.403 6.322 3.267
Rb 2.975 4.656 1.278
Se 3.237 1.703 3.298
Se 5.430 4.784 5.360
Sm 5.931 2.457 3.880
```

## Properties
Crystal system   triclinic
E   -44.4 eV per cell
M_tot   0.0 μB per formula unit

[16]
YTaSn2Pd2 | PBE-GGA | optimized geometry Values from VASP.

```
&SYSTEM
  ibrav = 0, nat = 12, ntyp = 4
/
ATOMIC_SPECIES
Pd 106.42 Pd.upf
Sn 118.71 Sn.upf
Ta 180.95 Ta.upf
Y 88.91 Y.upf
CELL_PARAMETERS angstrom
4.501 0.000 0.000
0.000 6.432 0.000
0.000 0.000 9.037
ATOMIC_POSITIONS angstrom
Pd 2.250 1.696 3.215
Sn 0.000 3.271 3.323
Pd 0.000 4.756 0.996
Pd 2.250 1.540 8.041
Sn 2.250 6.349 1.097
Ta 2.250 3.211 1.125
Sn 0.000 3.134 7.939
Sn 2.250 0.055 5.714
Y 0.000 0.012 3.416
Ta 0.000 6.427 7.912
Pd 0.000 4.911 5.821
Y 2.250 3.228 5.621
```

## Properties
Crystal system   orthorhombic
E   -80.3 eV per cell
M_tot   0.0 μB per formula unit

[17]
CsYAgSe3 | PBE-GGA | optimized geometry Values from VASP.

```
&SYSTEM
  ibrav = 0, nat = 12, ntyp = 4
/
ATOMIC_SPECIES
Se 78.96 Se.upf
Y 88.91 Y.upf
Cs 132.91 Cs.upf
Ag 107.87 Ag.upf
CELL_PARAMETERS angstrom
2.073 -8.081 0.000
2.073 8.081 0.000
0.000 0.000 10.885
ATOMIC_POSITIONS angstrom
Se 2.073 -6.122 5.920
Y 2.073 0.000 5.442
Se 2.073 -1.035 8.164
Se 2.073 -6.122 10.407
Se 2.073 6.122 4.965
Se 2.073 1.035 2.721
Cs 2.073 4.067 8.164
Se 2.073 6.122 0.477
Ag 2.073 7.461 2.721
Cs 2.073 -4.067 2.721
Ag 2.073 -7.461 8.164
Y 2.073 0.000 0.000
```

## Properties
Crystal system   orthorhombic
E   -54.9 eV per cell
M_tot   0.0 μB per formula unit

[18]
PuTcPt | PBE-GGA | optimized geometry Values from VASP.

```
&SYSTEM
  ibrav = 0, nat = 3, ntyp = 3
/
ATOMIC_SPECIES
Pt 195.08 Pt.upf
Tc 98.00 Tc.upf
Pu 244.00 Pu.upf
CELL_PARAMETERS angstrom
2.312 -0.003 3.806
-2.071 -0.791 3.862
0.715 -3.824 2.168
ATOMIC_POSITIONS angstrom
Pt 0.000 0.000 0.000
Tc 0.717 -3.463 7.377
Pu 0.239 -1.154 2.459
```

## Properties
Crystal system   cubic
E   -29.8 eV per cell
E_form   0.233 eV/atom
M_tot   3.0 μB per formula unit

[19]
PmSbAu | PBE-GGA | optimized geometry Values from VASP.

```
&SYSTEM
  ibrav = 0, nat = 3, ntyp = 3
/
ATOMIC_SPECIES
Pm 145.00 Pm.upf
Au 196.97 Au.upf
Sb 121.76 Sb.upf
CELL_PARAMETERS angstrom
-1.247 -0.818 4.814
-4.782 0.552 1.493
-2.735 -4.047 1.242
ATOMIC_POSITIONS angstrom
Pm 0.000 0.000 0.000
Au -2.191 -1.078 1.887
Sb -6.574 -3.235 5.662
```

## Properties
Crystal system   cubic
E   -13.7 eV per cell
M_tot   0.0 μB per formula unit

[20]
YMgSbOs | PBE-GGA | optimized geometry Values from VASP.

```
&SYSTEM
  ibrav = 0, nat = 4, ntyp = 4
/
ATOMIC_SPECIES
Os 190.23 Os.upf
Y 88.91 Y.upf
Sb 121.76 Sb.upf
Mg 24.30 Mg.upf
CELL_PARAMETERS angstrom
0.000 3.388 3.388
3.388 0.000 3.388
3.388 3.388 0.000
ATOMIC_POSITIONS angstrom
Os 1.694 1.694 1.694
Y 3.388 3.388 3.388
Sb 0.000 0.000 0.000
Mg 5.083 5.083 5.083
```

## Properties
Crystal system   cubic
E   -23.7 eV per cell
M_tot   0.0 μB per formula unit

[21]
Nd2Gd2CF5 | PBE-GGA | optimized geometry Values from VASP.

```
&SYSTEM
  ibrav = 0, nat = 10, ntyp = 4
/
ATOMIC_SPECIES
C 12.01 C.upf
Gd 157.25 Gd.upf
Nd 144.24 Nd.upf
F 19.00 F.upf
CELL_PARAMETERS angstrom
-2.881 2.832 -6.567
-5.524 0.725 -5.329
-0.986 4.409 5.402
ATOMIC_POSITIONS angstrom
C -4.202 1.779 -5.948
Gd -5.780 3.036 -7.177
Nd -0.752 3.342 4.086
F -2.429 4.725 2.859
F -7.496 5.702 -6.301
F -4.696 3.983 -3.247
F -1.895 2.264 -0.193
Gd -3.611 4.930 0.683
F -6.962 3.241 -9.353
Nd -8.639 4.625 -10.580
```

## Properties
Crystal system   monoclinic
E   -63.8 eV per cell
M_tot   0.0 μB per formula unit

[22]
HoCdTe3Au | PBE-GGA | optimized geometry Values from VASP.

```
&SYSTEM
  ibrav = 0, nat = 12, ntyp = 4
/
ATOMIC_SPECIES
Te 127.60 Te.upf
Au 196.97 Au.upf
Cd 112.41 Cd.upf
Ho 164.93 Ho.upf
CELL_PARAMETERS angstrom
-6.150 2.412 3.926
5.989 -4.783 -0.554
6.335 7.302 5.437
ATOMIC_POSITIONS angstrom
Te 0.199 1.413 3.527
Te -3.966 1.804 3.603
Au 10.462 0.858 3.626
Cd 1.929 5.917 6.776
Ho -0.080 -1.185 1.686
Te 7.759 0.383 3.163
Te -1.585 4.549 5.646
Au -4.288 4.073 5.182
Cd 4.245 -0.985 2.033
Te 10.140 3.127 5.206
Ho 3.087 2.466 4.404
Te 5.975 3.518 5.282
```

## Properties
Crystal system   orthorhombic
E   -43.7 eV per cell
M_tot   0.0 μB per formula unit

[23]
Y2AlOs3 | PBE-GGA | optimized geometry Values from VASP.

```
&SYSTEM
  ibrav = 0, nat = 12, ntyp = 3
/
ATOMIC_SPECIES
Y 88.91 Y.upf
Al 26.98 Al.upf
Os 190.23 Os.upf
CELL_PARAMETERS angstrom
5.406 0.000 0.000
-2.703 4.682 0.000
0.000 0.000 8.632
ATOMIC_POSITIONS angstrom
Y 2.703 1.561 8.052
Al 0.000 0.000 0.000
Os 0.000 1.601 6.474
Y 0.000 3.121 3.735
Os 1.317 3.881 6.474
Y 0.000 3.121 0.581
Os 1.386 0.800 2.158
Y 2.703 1.561 4.897
Os -1.317 3.881 6.474
Os 4.019 0.800 2.158
Os 2.703 3.081 2.158
Al 0.000 0.000 4.316
```

## Properties
Crystal system   hexagonal
E   -105.3 eV per cell
M_tot   0.0 μB per formula unit

[24]
HfCu2Te2Se | PBE-GGA | optimized geometry Values from VASP.

```
&SYSTEM
  ibrav = 0, nat = 12, ntyp = 4
/
ATOMIC_SPECIES
Hf 178.49 Hf.upf
Cu 63.55 Cu.upf
Te 127.60 Te.upf
Se 78.96 Se.upf
CELL_PARAMETERS angstrom
-8.341 -5.845 0.486
-5.412 -8.617 0.650
0.801 1.265 7.082
ATOMIC_POSITIONS angstrom
Hf -4.568 -4.612 3.619
Cu -0.108 0.162 4.670
Te -10.100 -10.499 2.888
Te -2.852 -2.698 5.329
Cu -9.062 -9.139 7.350
Hf -8.384 -8.585 4.599
Cu -3.890 -4.058 0.868
Te -5.661 -5.897 1.406
Se -12.086 -12.432 5.680
Cu -12.844 -13.359 3.547
Te -7.291 -7.300 6.812
Se -0.866 -0.765 2.538
```

## Properties
Crystal system   monoclinic
E   -61.3 eV per cell
M_tot   0.0 μB per formula unit

[25]
HoPOsO | PBE-GGA | optimized geometry Values from VASP.

```
&SYSTEM
  ibrav = 0, nat = 8, ntyp = 4
/
ATOMIC_SPECIES
O 16.00 O.upf
Ho 164.93 Ho.upf
P 30.97 P.upf
Os 190.23 Os.upf
CELL_PARAMETERS angstrom
-4.116 -1.093 0.687
1.215 -2.510 3.291
-0.649 4.984 4.040
ATOMIC_POSITIONS angstrom
O 0.000 0.000 0.000
O -1.450 -1.801 1.989
Ho -1.775 0.691 4.009
P 0.104 2.612 4.780
P -2.203 0.571 1.249
Os 0.520 -0.578 2.194
Ho -0.324 2.492 2.020
Os -2.619 3.760 3.835
```

## Properties
Crystal system   tetragonal
E   -51.8 eV per cell
M_tot   0.0 μB per formula unit